# MgTlGa (GGA-PBE, relaxed)
# - energy (eV per atom) = -2.287
data_MgTlGa
_chemical_formula_sum 'Mg2 Tl2 Ga2'
_space_group_name_H-M_alt 'P 1'
_space_group_IT_number 1
_space_group_name_Hall 'P 1'
_cell_length_a 3.276
_cell_length_b 6.601
_cell_length_c 6.825
_cell_angle_alpha 79.39
_cell_angle_beta 89.31
_cell_angle_gamma 85.93
loop_
_atom_site_label
_atom_site_type_symbol
_atom_site_fract_x
_atom_site_fract_y
_atom_site_fract_z
Mg1 Mg 0.000 0.000 0.000
Mg2 Mg 0.040 0.690 0.422
Tl1 Tl 0.373 0.197 0.331
Tl2 Tl 0.507 0.368 0.760
Ga1 Ga 0.528 0.849 0.708
Ga2 Ga 0.564 0.623 0.089

=====

# ZrV2Sb (GGA-PBE, relaxed)
# - formation energy without anion corrections (eV/atom) = -0.092
# - energy (eV per atom) = -7.819
data_ZrV2Sb
_chemical_formula_sum 'Zr1 V2 Sb1'
_space_group_name_H-M_alt 'P 4/m m m'
_space_group_IT_number 123
_space_group_name_Hall '-P 4 2'
_cell_length_a 4.308
_cell_length_b 4.308
_cell_length_c 3.772
_cell_angle_alpha 90.00
_cell_angle_beta 90.00
_cell_angle_gamma 90.00
loop_
_atom_site_label
_atom_site_type_symbol
_atom_site_fract_x
_atom_site_fract_y
_atom_site_fract_z
Zr1 Zr 0.000 0.000 0.000
V1 V 0.000 0.500 0.500
Sb1 Sb 0.500 0.500 0.000

=====

# Tm4Pd3Au (GGA-PBE, relaxed)
# - energy (eV per atom) = -5.541
data_Tm4Pd3Au
_chemical_formula_sum 'Tm4 Pd3 Au1'
_space_group_name_H-M_alt 'P m m 2'
_space_group_IT_number 25
_space_group_name_Hall 'P 2 -2'
_cell_length_a 3.665
_cell_length_b 4.592
_cell_length_c 10.457
_cell_angle_alpha 90.00
_cell_angle_beta 90.00
_cell_angle_gamma 90.00
loop_
_atom_site_label
_atom_site_type_symbol
_atom_site_fract_x
_atom_site_fract_y
_atom_site_fract_z
Tm1 Tm 0.000 0.000 0.000
Tm2 Tm 0.000 0.500 0.269
Tm3 Tm 0.500 0.000 0.490
Tm4 Tm 0.500 0.500 0.773
Pd1 Pd 0.000 0.500 0.544
Pd2 Pd 0.500 0.000 0.219
Pd3 Pd 0.500 0.500 0.046
Au1 Au 0.000 0.000 0.719

=====

# Ac2La2Hg (GGA-PBE, relaxed)
# - energy (eV per atom) = -3.763
data_Ac2La2Hg
_chemical_formula_sum 'Ac8 La8 Hg4'
_space_group_name_H-M_alt 'C 1 2/m 1'
_space_group_IT_number 12
_space_group_name_Hall '-C 2y'
_cell_length_a 8.807
_cell_length_b 10.398
_cell_length_c 8.921
_cell_angle_alpha 90.00
_cell_angle_beta 114.01
_cell_angle_gamma 90.00
loop_
_atom_site_label
_atom_site_type_symbol
_atom_site_fract_x
_atom_site_fract_y
_atom_site_fract_z
Ac1 Ac 0.080 0.190 0.228
La1 La 0.155 0.500 0.922
La2 La 0.225 0.000 0.621
Hg1 Hg 0.000 0.350 0.500